The following is a DFT calculation (PBE with a Hubbard U) of crystalline MgFe4P4O16 at its relaxed geometry.

## Properties
- total DFT energy (no corrections) (eV for the cell shown) = -175.23
- spin magnetization (Bohr magnetons per cell) = 18.0

Cell: 5.2663 8.5899 9.4157 Å, 86.94 88.80 74.10°
Closest atoms and distances in Å follow each position.
Space group P1 (No. 1)
Unique sites:
Mg: 0.0000 0.0000 0.0000 x1  5 O 1.99-2.16
Fe: 0.1356 0.7917 0.3606 x1  5 O 1.88-2.11
Fe: 0.2793 0.1944 0.4319 x1  4 O 1.95-2.10
Fe: 0.6132 0.3341 0.9162 x1  4 O 1.88-2.02
Fe: 0.6826 0.6980 0.8620 x1  2 O 1.93-2.05
P: 0.0766 0.2856 0.7650 x1  4 O 1.50-1.59
P: 0.2439 0.6966 0.0418 x1  4 O 1.53-1.57
P: 0.5493 0.7919 0.5215 x1  4 O 1.53-1.59
P: 0.8378 0.1683 0.2433 x1  4 O 1.50-1.60
O: 0.0383 0.2637 0.2606 x1  1 P 1.52
O: 0.0969 0.2889 0.6057 x1  1 P 1.50
O: 0.2290 0.6495 0.1997 x1  1 P 1.53
O: 0.3360 0.9429 0.4515 x1  1 P 1.59
O: 0.3472 0.2589 0.8369 x1  1 P 1.54
O: 0.3712 0.8391 0.0093 x1  1 P 1.56
O: 0.4222 0.5534 0.9593 x1  1 P 1.56
O: 0.4284 0.6548 0.4800 x1  1 P 1.55
O: 0.5643 0.8086 0.6817 x1  1 P 1.53
O: 0.6291 0.1930 0.3579 x1  1 P 1.50
O: 0.7168 0.2060 0.0865 x1  1 P 1.60
O: 0.8239 0.7748 0.4537 x1  1 P 1.54
O: 0.8711 0.4430 0.8201 x1  1 P 1.59
O: 0.9427 0.1542 0.8301 x1  1 P 1.58
O: 0.9624 0.7639 0.9749 x1  1 P 1.57
O: 0.9814 0.9822 0.2237 x1  1 P 1.59